A relaxed Cd2AsSe crystal. Source: the Alexandria database, functional GGA-PBEsol.

Structure (extended XYZ):
```
4
Lattice="3.475 0.000 0.000 0.000 4.423 0.002 -1.738 -2.141 5.621" Properties=species:S:1:pos:R:3 pbc="T T T"
As 0.000 0.000 0.000
Cd 1.738 2.247 2.816
Cd 0.000 0.035 2.807
Se 1.738 2.212 0.001
```

DOS(E_F)	1.51	states/eV/cell
crystal system	monoclinic
formation energy (no corrections)	0.07	eV/atom
electronic total energy	-11.1	eV/cell

***

A relaxed SrLa2Ag2 crystal. Source: the Alexandria database, functional GGA-PBEsol.

Structure (extended XYZ):
```
10
Lattice="-0.549 2.908 -2.647 -1.145 -5.894 -6.238 -8.498 -0.100 1.654" Properties=species:S:1:pos:R:3 pbc="T T T"
Ag -6.308 -5.224 -4.430
Ag -1.771 -3.692 -3.689
Ag -7.872 -2.302 -0.895
Ag -3.335 -0.770 -0.154
La -2.030 -0.561 -3.173
La -8.163 -2.525 -4.058
La -4.118 -3.526 -5.997
La -6.075 0.440 -1.234
Sr 0.000 0.000 0.000
Sr -4.822 -2.997 -2.292
```

DOS(E_F)	12.46	states/eV/cell
energy relative to the elements	-0.686	eV/f.u.
crystal system	tetragonal
electronic total energy	-39.7	eV/cell

***

A relaxed TaCuHg2 crystal. Source: the Alexandria database, functional GGA-PBEsol.

Structure (extended XYZ):
```
4
Lattice="4.154 0.000 0.000 0.000 4.154 0.000 -2.077 -2.077 4.052" Properties=species:S:1:pos:R:3 pbc="T T T"
Hg 0.000 0.000 0.000
Hg 2.077 0.000 2.026
Ta 2.077 2.077 0.000
Cu 0.000 2.077 2.026
```

DOS(E_F)	3.37	states/eV/cell
energy relative to the elements	1.999	eV/f.u.
crystal system	tetragonal
electronic total energy	-16.0	eV/cell

***

A relaxed DyPt crystal. Source: the Alexandria database, functional GGA-PBEsol.

Structure (extended XYZ):
```
8
Lattice="4.482 0.000 0.000 0.000 5.493 0.000 0.000 0.000 6.868" Properties=species:S:1:pos:R:3 pbc="T T T"
Dy 3.361 0.776 2.186
Dy 1.120 4.717 4.681
Dy 3.361 1.970 5.620
Dy 1.120 3.522 1.248
Pt 1.120 0.851 0.295
Pt 3.361 3.598 3.139
Pt 1.120 1.895 3.729
Pt 3.361 4.641 6.573
```

DOS(E_F)	4.07	states/eV/cell
energy relative to the elements	-2.495	eV/f.u.
crystal system	orthorhombic
electronic total energy	-57.7	eV/cell

***

A relaxed Zn3WN4 crystal. Source: the Alexandria database, functional GGA-PBEsol.

Structure (extended XYZ):
```
16
Lattice="-3.522 -3.757 1.286 0.863 -2.505 -4.955 4.755 -3.558 2.627" Properties=species:S:1:pos:R:3 pbc="T T T"
N -2.571 -4.953 -2.055
N -1.846 -4.613 0.911
N 1.317 -4.125 0.055
N 0.647 -6.478 2.288
N -0.282 -6.913 -0.827
N 2.857 -6.154 -1.662
N 0.595 -4.461 -2.912
N -1.193 -2.400 -1.092
Zn 2.758 -4.094 1.483
Zn 1.582 -7.647 -1.162
Zn -0.375 -2.684 -2.957
Zn -0.807 -5.860 -2.482
Zn -0.046 -5.505 0.654
Zn 0.391 -2.323 0.176
W 2.001 -4.475 -1.657
W -2.430 -3.723 -0.644
```

DOS(E_F)	0.00	states/eV/cell
crystal system	orthorhombic
formation energy (no corrections)	-0.35	eV/atom
electronic total energy	-110.9	eV/cell

***

A relaxed LaSc2W crystal. Source: the Alexandria database, functional GGA-PBEsol.

Structure (extended XYZ):
```
4
Lattice="3.036 0.011 0.000 -1.050 2.848 0.000 0.000 0.000 10.378" Properties=species:S:1:pos:R:3 pbc="T T T"
La 0.993 1.429 0.000
Sc 0.000 0.000 7.305
Sc 0.000 0.000 3.073
W 0.993 1.429 5.189
```

DOS(E_F)	5.26	states/eV/cell
energy relative to the elements	1.222	eV/f.u.
crystal system	orthorhombic
electronic total energy	-31.1	eV/cell

***

A relaxed ZrFeNi6 crystal. Source: the Alexandria database, functional GGA-PBEsol.

Structure (extended XYZ):
```
32
Lattice="-4.879 -2.799 2.657 4.368 1.132 4.283 -4.200 9.105 1.877" Properties=species:S:1:pos:R:3 pbc="T T T"
Ni -2.894 7.287 7.005
Ni -5.715 5.114 4.496
Ni -3.917 4.834 2.786
Ni -5.262 6.280 6.588
Ni -2.647 8.091 3.658
Ni -2.356 3.719 4.409
Ni -0.256 -0.833 3.470
Ni -1.652 5.797 3.184
Ni -0.549 3.406 2.691
Ni -2.064 -0.653 5.159
Ni -3.060 1.641 5.633
Ni -0.795 2.604 6.032
Ni -1.174 7.044 5.294
Ni -1.818 0.151 1.812
Ni -5.016 7.084 3.242
Ni -3.538 0.394 3.523
Ni -4.163 4.032 6.126
Ni 0.551 1.158 2.229
Ni -2.100 4.553 0.939
Ni -2.814 2.443 2.293
Ni -1.898 4.995 6.524
Ni 1.003 2.325 4.321
Ni 0.000 0.000 0.000
Ni 0.304 0.354 5.575
Zr -3.168 6.867 1.416
Zr -4.708 2.719 3.995
Zr -1.032 2.238 0.461
Zr -0.004 4.719 4.822
Fe -3.431 6.051 4.889
Fe -2.630 -1.843 3.053
Fe 2.118 0.176 3.887
Fe -1.280 1.388 3.928
```

DOS(E_F)	17.19	states/eV/cell
energy relative to the elements	-1.841	eV/f.u.
crystal system	orthorhombic
electronic total energy	-227.4	eV/cell

***

A relaxed PrFe4As12 crystal. Source: the Alexandria database, functional GGA-PBEsol.

Structure (extended XYZ):
```
17
Lattice="7.136 0.000 0.000 -2.379 6.728 0.000 -2.379 -3.364 5.826" Properties=species:S:1:pos:R:3 pbc="T T T"
As -1.493 4.511 2.003
As 0.886 2.843 0.918
As 1.493 0.521 4.908
As -0.007 3.460 3.823
As 3.872 -1.147 3.823
As -0.886 0.626 2.921
As 2.385 -0.096 2.003
As 0.007 -1.581 4.908
As 3.264 2.738 2.905
As -2.372 1.677 4.742
As 2.372 4.945 0.918
As 4.750 1.687 1.085
Pr 0.000 0.000 0.000
Fe -1.189 -1.682 2.913
Fe 1.189 1.682 2.913
Fe 3.568 0.000 0.000
Fe -1.189 3.364 0.000
```

DOS(E_F)	17.09	states/eV/cell
energy relative to the elements	-7.630	eV/f.u.
crystal system	cubic
electronic total energy	-109.9	eV/cell

***

A relaxed Na4EuGe2Se6 crystal. Source: the Alexandria database, functional GGA-PBEsol.

Structure (extended XYZ):
```
13
Lattice="-6.511 -1.066 -2.494 4.507 -5.405 0.481 -1.800 0.717 7.710" Properties=species:S:1:pos:R:3 pbc="T T T"
Ge -1.509 -2.656 1.725
Ge -2.291 -3.099 3.973
Se 0.805 -2.151 1.902
Se -1.082 -4.992 4.748
Se -1.901 -4.611 0.442
Se -4.620 -3.544 3.802
Se -1.847 -1.164 5.271
Se -2.764 -0.800 0.929
Na 4.488 -5.397 0.476
Na -2.888 -2.493 -1.516
Na 0.900 -3.985 -0.493
Na 1.775 -4.325 3.842
Eu -5.584 -1.427 1.854
```

DOS(E_F)	15.06	states/eV/cell
crystal system	monoclinic
formation energy (no corrections)	-0.99	eV/atom
electronic total energy	-62.0	eV/cell

***

A relaxed MoNOF2 crystal. Source: the Alexandria database, functional GGA-PBEsol.

Structure (extended XYZ):
```
5
Lattice="3.806 0.000 0.000 0.000 3.946 0.000 0.000 0.000 3.946" Properties=species:S:1:pos:R:3 pbc="T T T"
F 0.000 1.973 0.000
F 0.000 0.000 1.973
Mo 0.000 0.000 0.000
O 1.903 1.973 1.973
N 1.903 0.000 0.000
```

DOS(E_F)	2.70	states/eV/cell
crystal system	tetragonal
formation energy (no corrections)	-0.50	eV/atom
electronic total energy	-31.9	eV/cell

***

A relaxed Ca2HgRh crystal. Source: the Alexandria database, functional GGA-PBEsol.

Structure (extended XYZ):
```
4
Lattice="-0.383 1.929 3.594 -4.300 0.292 -0.615 -0.487 -5.729 0.687" Properties=species:S:1:pos:R:3 pbc="T T T"
Hg -0.465 -0.957 2.799
Ca -0.852 -3.677 4.217
Ca -2.518 -2.442 1.042
Rh -2.412 0.615 1.748
```

DOS(E_F)	2.06	states/eV/cell
energy relative to the elements	-1.568	eV/f.u.
crystal system	orthorhombic
electronic total energy	-14.5	eV/cell

***

A relaxed Li14Ti21O48 crystal. Source: the Alexandria database, functional GGA-PBEsol.

Structure (extended XYZ):
```
83
Lattice="-0.495 -2.316 -5.397 -3.433 -4.709 -0.877 -22.380 17.370 -5.353" Properties=species:S:1:pos:R:3 pbc="T T T"
Ti -22.397 11.970 -6.252
Ti -20.663 14.403 -5.808
Ti -14.491 6.244 -6.115
Ti -12.818 8.560 -5.687
Ti -3.570 -3.587 -6.156
Ti -17.069 6.536 -7.637
Ti -17.892 9.217 -8.715
Ti -20.892 13.196 -8.567
Ti -11.287 3.416 -3.633
Ti -14.258 7.387 -3.472
Ti -10.816 -1.541 -7.848
Ti -6.698 0.492 -6.025
Ti -6.015 -2.168 -5.059
Ti -19.645 6.818 -9.162
Ti -23.237 14.634 -7.359
Ti -19.391 7.997 -6.410
Ti -3.387 -2.395 -3.471
Ti -8.171 -0.709 -3.758
Ti -5.048 -4.791 -3.883
Ti -9.505 5.668 -3.179
Ti -9.839 4.595 -5.860
Li -7.824 2.689 -3.663
Li -15.151 1.686 -8.958
Li -18.192 14.107 -4.358
Li -21.301 9.821 -8.649
Li -12.831 3.224 -6.635
Li -5.063 0.589 -2.980
Li -10.026 1.124 -5.924
Li -2.857 2.179 -0.704
Li -8.408 -1.874 -6.459
Li -24.048 11.935 -9.316
Li -19.007 11.392 -6.326
Li -17.877 3.801 -9.610
Li -16.264 9.266 -5.668
Li -12.005 5.999 -4.629
O -24.736 9.127 -11.250
O -9.432 2.847 -6.771
O -3.209 -4.215 -4.318
O -5.245 -2.938 -3.239
O -6.991 2.316 -5.380
O -15.154 6.837 -7.947
O -21.307 14.954 -7.644
O -5.483 -3.975 -5.670
O -11.342 5.135 -2.867
O -19.738 8.602 -8.278
O -14.402 4.463 -7.000
O -11.595 4.075 -5.381
O -11.323 0.230 -7.240
O -22.831 12.857 -8.036
O -22.612 13.891 -5.637
O -19.433 5.009 -9.983
O -8.565 1.034 -2.960
O -19.561 9.675 -5.539
O -9.977 6.247 -4.967
O -14.708 8.056 -5.297
O -3.926 -1.863 -5.267
O -17.726 12.190 -5.070
O -16.463 5.771 -5.934
O -11.071 1.512 -4.251
O -12.489 7.904 -3.935
O -7.756 -2.465 -4.564
O -17.991 10.954 -7.953
O -18.985 6.230 -7.330
O -13.611 0.491 -8.590
O -12.715 6.823 -6.447
O -2.771 -2.968 -1.682
O -14.084 5.708 -4.342
O -3.506 -0.619 -2.608
O -20.546 12.588 -6.693
O -1.479 -1.916 -3.668
O -6.394 -1.355 -6.659
O -6.249 -0.354 -4.251
O -6.638 3.630 -2.393
O -17.676 7.296 -9.343
O -1.247 -0.908 -1.292
O -22.550 8.999 -9.896
O -4.401 3.304 -1.112
O -20.734 11.511 -9.434
O -17.455 8.329 -6.938
O -22.298 10.237 -7.028
O -16.687 4.740 -8.339
O -9.378 3.905 -4.030
O -8.491 -0.025 -5.534
```

DOS(E_F)	10.34	states/eV/cell
crystal system	monoclinic
formation energy (no corrections)	-2.85	eV/atom
electronic total energy	-690.7	eV/cell

***

Which of these has the highest DOS(E_F)? ZrFeNi6

***

Please write out number 1 again, unchanged.
A relaxed Cd2AsSe crystal. Source: the Alexandria database, functional GGA-PBEsol.

Structure (extended XYZ):
```
4
Lattice="3.475 0.000 0.000 0.000 4.423 0.002 -1.738 -2.141 5.621" Properties=species:S:1:pos:R:3 pbc="T T T"
As 0.000 0.000 0.000
Cd 1.738 2.247 2.816
Cd 0.000 0.035 2.807
Se 1.738 2.212 0.001
```

DOS(E_F)	1.51	states/eV/cell
crystal system	monoclinic
formation energy (no corrections)	0.07	eV/atom
electronic total energy	-11.1	eV/cell

***

Please write out number 4 again, unchanged.
A relaxed DyPt crystal. Source: the Alexandria database, functional GGA-PBEsol.

Structure (extended XYZ):
```
8
Lattice="4.482 0.000 0.000 0.000 5.493 0.000 0.000 0.000 6.868" Properties=species:S:1:pos:R:3 pbc="T T T"
Dy 3.361 0.776 2.186
Dy 1.120 4.717 4.681
Dy 3.361 1.970 5.620
Dy 1.120 3.522 1.248
Pt 1.120 0.851 0.295
Pt 3.361 3.598 3.139
Pt 1.120 1.895 3.729
Pt 3.361 4.641 6.573
```

DOS(E_F)	4.07	states/eV/cell
energy relative to the elements	-2.495	eV/f.u.
crystal system	orthorhombic
electronic total energy	-57.7	eV/cell